# La2PaCu, relaxed, DFT PBE
# Magnetization = 0.00 μB/atom
# Relative energy among the computed polymorphs = 0.000 eV/atom
# ΔH_f (0 K) = 5.9 kJ/mol of atoms
data_La2PaCu
_chemical_formula_sum 'La2 Pa1 Cu1'
_cell_length_a 3.4688
_cell_length_b 3.4688
_cell_length_c 8.7934
_cell_angle_alpha 90.00
_cell_angle_beta 90.00
_cell_angle_gamma 90.00
_space_group_name_H-M_alt 'P 4/m m m'
_space_group_IT_number 123
_space_group_name_Hall '-P 4 2'
loop_
_atom_site_label
_atom_site_type_symbol
_atom_site_fract_x
_atom_site_fract_y
_atom_site_fract_z
_atom_site_occupancy
La1 La 0.0000 0.0000 0.2231 1
Pa1 Pa 0.5000 0.5000 0.5000 1
Cu1 Cu 0.5000 0.5000 0.0000 1

# OsWSe2N, relaxed, DFT PBE
# Magnetization = 0.52 μB/atom
# Relative energy among the computed polymorphs = 0.086 eV/atom
# Formation energy from raw total energies = 1.154 eV per atom
data_OsWSe2N
_chemical_formula_sum 'Os1 W1 Se2 N1'
_cell_length_a 5.0158
_cell_length_b 5.0158
_cell_length_c 3.7523
_cell_angle_alpha 90.00
_cell_angle_beta 90.00
_cell_angle_gamma 90.00
_space_group_name_H-M_alt 'P 4/m m m'
_space_group_IT_number 123
_space_group_name_Hall '-P 4 2'
loop_
_atom_site_label
_atom_site_type_symbol
_atom_site_fract_x
_atom_site_fract_y
_atom_site_fract_z
_atom_site_occupancy
Os1 Os 0.0000 0.0000 0.0000 1
W1 W 0.5000 0.5000 0.5000 1
Se1 Se 0.0000 0.5000 0.5000 1
N1 N 0.5000 0.5000 0.0000 1

# Tb2SnHg, relaxed, DFT PBE
# Magnetization = 0.00 μB/atom
# ΔH_f (0 K) = -57.0 kJ/mol of atoms
data_Tb2SnHg
_chemical_formula_sum 'Tb4 Sn2 Hg2'
_cell_length_a 6.1469
_cell_length_b 4.4290
_cell_length_c 8.6825
_cell_angle_alpha 90.00
_cell_angle_beta 109.68
_cell_angle_gamma 90.00
_space_group_name_H-M_alt 'P 1 21/m 1'
_space_group_IT_number 11
loop_
_space_group_symop_operation_xyz
'x,y,z'
'-x,-y,-z'
'-x,y+1/2,-z'
'x,-y+1/2,z'
loop_
_atom_site_label
_atom_site_type_symbol
_atom_site_fract_x
_atom_site_fract_y
_atom_site_fract_z
_atom_site_occupancy
Tb1 Tb 0.2044 0.2500 0.4312 1
Tb2 Tb 0.2901 0.7500 0.0704 1
Sn1 Sn 0.3795 0.7500 0.7075 1
Hg1 Hg 0.1143 0.2500 0.7986 1

# Zr4PaTi, relaxed, DFT PBE
# Magnetization = 0.00 μB/atom
# ΔH_f (0 K) = 8.8 kJ/mol of atoms
data_Zr4PaTi
_chemical_formula_sum 'Zr8 Pa2 Ti2'
_cell_length_a 8.3239
_cell_length_b 5.3549
_cell_length_c 6.1295
_cell_angle_alpha 90.00
_cell_angle_beta 97.99
_cell_angle_gamma 90.00
_space_group_name_H-M_alt 'P 1 2/c 1'
_space_group_IT_number 13
loop_
_space_group_symop_operation_xyz
'x,y,z'
'-x,-y,-z'
'-x,y,-z+1/2'
'x,-y,z+1/2'
loop_
_atom_site_label
_atom_site_type_symbol
_atom_site_fract_x
_atom_site_fract_y
_atom_site_fract_z
_atom_site_occupancy
Zr1 Zr 0.1642 0.0427 0.4217 1
Zr2 Zr 0.3235 0.4523 0.1115 1
Pa1 Pa 0.5000 0.0568 0.7500 1
Ti1 Ti 0.0000 0.4478 0.7500 1

# AlCu2GeSe4, relaxed, DFT PBE
# Magnetization = 0.00 μB/atom
# Formation energy from raw total energies = -0.386 eV per atom
data_AlCu2GeSe4
_chemical_formula_sum 'Al2 Cu4 Ge2 Se8'
_cell_length_a 5.7590
_cell_length_b 5.7590
_cell_length_c 11.2727
_cell_angle_alpha 90.00
_cell_angle_beta 90.00
_cell_angle_gamma 90.00
_space_group_name_H-M_alt 'I -4 2 m'
_space_group_IT_number 121
_space_group_name_Hall 'I -4 2'
loop_
_atom_site_label
_atom_site_type_symbol
_atom_site_fract_x
_atom_site_fract_y
_atom_site_fract_z
_atom_site_occupancy
Al1 Al 0.0000 0.0000 0.0000 1
Cu1 Cu 0.0000 0.5000 0.2500 1
Ge1 Ge 0.0000 0.0000 0.5000 1
Se1 Se 0.2359 0.2359 0.1323 1

# Pm2Pr2Ir, relaxed, DFT PBE
# Magnetization = 0.00 μB/atom
# ΔH_f (0 K) = -25.5 kJ/mol of atoms
data_Pm2Pr2Ir
_chemical_formula_sum 'Pm8 Pr8 Ir4'
_cell_length_a 7.6150
_cell_length_b 12.2311
_cell_length_c 7.6025
_cell_angle_alpha 90.00
_cell_angle_beta 114.13
_cell_angle_gamma 90.00
_space_group_name_H-M_alt 'C 1 2/m 1'
_space_group_IT_number 12
loop_
_space_group_symop_operation_xyz
'x,y,z'
'-x,-y,-z'
'-x,y,-z'
'x,-y,z'
'x+1/2,y+1/2,z'
'-x+1/2,-y+1/2,-z'
'-x+1/2,y+1/2,-z'
'x+1/2,-y+1/2,z'
loop_
_atom_site_label
_atom_site_type_symbol
_atom_site_fract_x
_atom_site_fract_y
_atom_site_fract_z
_atom_site_occupancy
Pm1 Pm 0.0606 0.2232 0.2564 1
Pr1 Pr 0.2259 0.5000 0.9023 1
Pr2 Pr 0.2439 0.0000 0.6035 1
Ir1 Ir 0.0000 0.3711 0.5000 1

# Y2TaSb, relaxed, DFT PBE
# Magnetization = 0.00 μB/atom
# Formation energy from raw total energies = 0.080 eV per atom
data_Y2TaSb
_chemical_formula_sum 'Y2 Ta1 Sb1'
_cell_length_a 5.4467
_cell_length_b 3.3735
_cell_length_c 5.8367
_cell_angle_alpha 90.00
_cell_angle_beta 111.72
_cell_angle_gamma 90.00
_space_group_name_H-M_alt 'P 1 2/m 1'
_space_group_IT_number 10
loop_
_space_group_symop_operation_xyz
'x,y,z'
'-x,-y,-z'
'-x,y,-z'
'x,-y,z'
loop_
_atom_site_label
_atom_site_type_symbol
_atom_site_fract_x
_atom_site_fract_y
_atom_site_fract_z
_atom_site_occupancy
Y1 Y 0.0000 0.0000 0.0000 1
Y2 Y 0.0000 0.5000 0.5000 1
Ta1 Ta 0.5000 0.0000 0.5000 1
Sb1 Sb 0.5000 0.5000 0.0000 1

# LuBe2Cu, relaxed, DFT PBE
# Magnetization = 0.00 μB/atom
# ΔH_f (0 K) = -11.2 kJ/mol of atoms
data_LuBe2Cu
_chemical_formula_sum 'Lu3 Be6 Cu3'
_cell_length_a 3.7862
_cell_length_b 3.7862
_cell_length_c 14.0183
_cell_angle_alpha 90.00
_cell_angle_beta 90.00
_cell_angle_gamma 120.00
_space_group_name_H-M_alt 'R -3 m'
_space_group_IT_number 166
_space_group_name_Hall '-R 3 2"'
loop_
_atom_site_label
_atom_site_type_symbol
_atom_site_fract_x
_atom_site_fract_y
_atom_site_fract_z
_atom_site_occupancy
Lu1 Lu 0.0000 0.0000 0.0000 1
Be1 Be 0.0000 0.0000 0.1956 1
Cu1 Cu 0.0000 0.0000 0.5000 1

# Eu2ErSc, relaxed, DFT PBE
# Magnetization = 3.87 μB/atom
# Relative energy among the computed polymorphs = 0.000 eV/atom
# ΔH_f (0 K) = 17.0 kJ/mol of atoms
data_Eu2ErSc
_chemical_formula_sum 'Eu2 Er1 Sc1'
_cell_length_a 3.5780
_cell_length_b 3.5780
_cell_length_c 10.2518
_cell_angle_alpha 90.00
_cell_angle_beta 90.00
_cell_angle_gamma 90.00
_space_group_name_H-M_alt 'P 4/m m m'
_space_group_IT_number 123
_space_group_name_Hall '-P 4 2'
loop_
_atom_site_label
_atom_site_type_symbol
_atom_site_fract_x
_atom_site_fract_y
_atom_site_fract_z
_atom_site_occupancy
Eu1 Eu 0.0000 0.0000 0.2401 1
Er1 Er 0.5000 0.5000 0.5000 1
Sc1 Sc 0.5000 0.5000 0.0000 1

# La2AlAg3, relaxed, DFT PBE
# Magnetization = 0.00 μB/atom
# Relative energy among the computed polymorphs = 0.000 eV/atom
# ΔH_f (0 K) = -30.7 kJ/mol of atoms
data_La2AlAg3
_chemical_formula_sum 'La16 Al8 Ag24'
_cell_length_a 7.3305
_cell_length_b 9.6455
_cell_length_c 16.7326
_cell_angle_alpha 90.00
_cell_angle_beta 90.00
_cell_angle_gamma 90.00
_space_group_name_H-M_alt 'F m m m'
_space_group_IT_number 69
_space_group_name_Hall '-F 2 2'
loop_
_atom_site_label
_atom_site_type_symbol
_atom_site_fract_x
_atom_site_fract_y
_atom_site_fract_z
_atom_site_occupancy
La1 La 0.2407 0.0000 0.0000 1
La2 La 0.2500 0.2500 0.2500 1
Al1 Al 0.0000 0.0000 0.3337 1
Ag1 Ag 0.0000 0.0000 0.1711 1
Ag2 Ag 0.0000 0.2407 0.4148 1

# ScFeSn2Pt, relaxed, DFT PBE
# Magnetization = 0.35 μB/atom
# ΔH_f (0 K) = 98.0 kJ/mol of atoms
data_ScFeSn2Pt
_chemical_formula_sum 'Sc1 Fe1 Sn2 Pt1'
_cell_length_a 5.3632
_cell_length_b 5.3632
_cell_length_c 4.2837
_cell_angle_alpha 90.00
_cell_angle_beta 90.00
_cell_angle_gamma 90.00
_space_group_name_H-M_alt 'P 4/m m m'
_space_group_IT_number 123
_space_group_name_Hall '-P 4 2'
loop_
_atom_site_label
_atom_site_type_symbol
_atom_site_fract_x
_atom_site_fract_y
_atom_site_fract_z
_atom_site_occupancy
Sc1 Sc 0.0000 0.0000 0.0000 1
Fe1 Fe 0.0000 0.0000 0.5000 1
Sn1 Sn 0.0000 0.5000 0.0000 1
Pt1 Pt 0.5000 0.5000 0.5000 1

# NaZnAs2Se, relaxed, DFT PBE
# Magnetization = 0.00 μB/atom
# Relative energy among the computed polymorphs = 0.728 eV/atom
# Formation energy from raw total energies = 0.957 eV per atom
data_NaZnAs2Se
_chemical_formula_sum 'Na1 Zn1 As2 Se1'
_cell_length_a 5.0596
_cell_length_b 5.0596
_cell_length_c 5.0584
_cell_angle_alpha 90.00
_cell_angle_beta 90.00
_cell_angle_gamma 90.00
_space_group_name_H-M_alt 'P 4/m m m'
_space_group_IT_number 123
_space_group_name_Hall '-P 4 2'
loop_
_atom_site_label
_atom_site_type_symbol
_atom_site_fract_x
_atom_site_fract_y
_atom_site_fract_z
_atom_site_occupancy
Na1 Na 0.0000 0.0000 0.0000 1
Zn1 Zn 0.5000 0.5000 0.5000 1
As1 As 0.0000 0.5000 0.0000 1
Se1 Se 0.0000 0.0000 0.5000 1

no.,volume (A^3/atom)
1,26.45
2,18.88
3,27.82
4,22.55
5,23.37
6,32.31
7,24.91
8,14.50
9,32.81
10,24.65
11,24.64
12,25.90